A plane-wave DFT calculation with PBE was carried out for crystalline ReRh2O at its relaxed geometry.

Calculated values
The space group is I-42d, No. 122. The value obtained for the formation energy without anion corrections is 0.47 eV per atom.

a b c (Å): 5.6707 5.6707 5.6543
angles (deg): 59.90 59.90 90.00
With the nearest neighbours (Å) after each atom.
Atoms (fractional coordinates):
O1 0.5000 0.5000 0.0000  4 Rh 2.10
O2 0.2500 0.7500 0.5000  4 Rh 2.10
Rh1 0.1654 0.6250 0.2500  2 O 2.10
Rh2 0.5846 0.1250 0.2500  2 O 2.10
Rh3 0.8750 0.8346 0.7500  2 O 2.10
Rh4 0.3750 0.4154 0.7500  2 O 2.10
Re1 0.7500 0.2500 0.5000  4 Rh 2.39
Re2 0.0000 0.0000 0.0000  4 Rh 2.39

***

A plane-wave DFT calculation with PBE was carried out for crystalline Re2TcPt at its relaxed geometry.

Calculated values
The space group is P4mm, No. 99. As for the formation energy: -42 meV/atom.

a b c (Å): 2.7503 2.7503 7.9268
angles (deg): 90.00 90.00 90.00
With the nearest neighbours (Å) after each atom.
Atoms (fractional coordinates):
Tc1 0.0000 0.0000 0.4902  4 Re 2.71, 4 Tc 2.75, 4 Pt 2.84
Re1 0.0000 0.0000 0.0056  8 Re 2.75-2.76, 4 Pt 2.80
Re2 0.5000 0.5000 0.2528  4 Tc 2.71, 8 Re 2.75-2.76
Pt1 0.5000 0.5000 0.7513  4 Pt 2.75, 4 Re 2.80, 4 Tc 2.84

***

A plane-wave DFT calculation with PBE was carried out for crystalline La4CoRh at its relaxed geometry.

Calculated values
The space group is F-43m, No. 216. As for the formation energy: 817 meV/atom.

a b c (Å): 6.1568 6.1568 6.1568
angles (deg): 60.00 60.00 60.00
With the nearest neighbours (Å) after each atom.
Atoms (fractional coordinates):
Co1 0.0000 0.0000 0.0000  12 La 3.61, 4 Rh 3.77
La1 0.8742 0.3753 0.3753  6 La 3.07-3.09
La2 0.3753 0.8742 0.3753  6 La 3.07-3.09
La3 0.3753 0.3753 0.8742  6 La 3.07-3.09
La4 0.3753 0.3753 0.3753  6 La 3.07-3.09
Rh1 0.7500 0.7500 0.7500  12 La 3.61, 4 Co 3.77

***

A plane-wave DFT calculation with PBE was carried out for crystalline K2NbI2Cl4 at its relaxed geometry.

Calculated values
The space group is C2/m, No. 12. The value obtained for the formation energy without anion corrections is -1.36 eV per atom.

a b c (Å): 7.7412 7.5252 7.5252
angles (deg): 58.73 62.05 62.05
With the nearest neighbours (Å) after each atom.
Atoms (fractional coordinates):
I1 0.1722 0.2466 0.2466  1 Nb 2.84
I2 0.8278 0.7534 0.7534  1 Nb 2.84
Nb1 0.5000 0.0000 0.0000  4 Cl 2.43
Cl1 0.3270 0.7226 0.1886  1 Nb 2.43
Cl2 0.6730 0.8114 0.2774  1 Nb 2.43
Cl3 0.3270 0.1886 0.7226  1 Nb 2.43
Cl4 0.6730 0.2774 0.8114  1 Nb 2.43
K1 0.6954 0.2548 0.2548  4 Cl 3.30-3.33, 1 I 3.63
K2 0.3046 0.7452 0.7452  4 Cl 3.30-3.33, 1 I 3.63

***

A plane-wave DFT calculation with PBE was carried out for crystalline Sm2InAg3 at its relaxed geometry.

Calculated values
The space group is Imm2, No. 44. As for the formation energy: -219 meV/atom.

a b c (Å): 3.8288 4.4349 9.4519
angles (deg): 103.57 101.69 90.00
With the nearest neighbours (Å) after each atom.
Atoms (fractional coordinates):
Sm1 0.1262 0.1262 0.2523  8 Ag 3.20-3.27, 2 In 3.56
Sm2 0.8687 0.3687 0.7375  4 Ag 3.16, 4 In 3.35
Ag1 0.3031 0.8031 0.6063  2 Ag 2.70, 1 In 2.81
Ag2 0.5454 0.5454 0.0908  2 In 2.70, 1 Ag 2.73
Ag3 0.6972 0.6972 0.3943  3 Ag 2.70-2.73
In1 0.4594 0.9594 0.9188  3 Ag 2.70-2.81

***

A plane-wave DFT calculation with PBE was carried out for crystalline Li3GeH6 at its relaxed geometry.

Calculated values
The space group is Cmc2_1, No. 36.

a b c (Å): 5.2329 6.0958 6.0958
angles (deg): 103.60 90.00 90.00
With the nearest neighbours (Å) after each atom.
Atoms (fractional coordinates):
H1 0.2670 0.3235 0.3366  4 Li 1.80-1.97
H2 0.9899 0.0439 0.9561  1 Ge 1.59
H3 0.7670 0.3366 0.3235  4 Li 1.80-1.97
H4 0.0995 0.7953 0.2047  1 Ge 1.97, 3 Li 1.99-2.15
H5 0.6758 0.6051 0.0740  1 Ge 1.61
H6 0.1758 0.0740 0.6051  1 Ge 1.61
H7 0.6758 0.9260 0.3949  1 Ge 1.61
H8 0.2670 0.6634 0.6765  4 Li 1.80-1.97
H9 0.7670 0.6765 0.6634  4 Li 1.80-1.97
H10 0.1758 0.3949 0.9260  1 Ge 1.61
H11 0.5995 0.2047 0.7953  1 Ge 1.97, 3 Li 1.99-2.15
H12 0.4899 0.9561 0.0439  1 Ge 1.59
Ge1 0.4767 0.7904 0.2096  3 H 1.59-1.61
Ge2 0.9767 0.2096 0.7904  3 H 1.59-1.61
Li1 0.0239 0.5750 0.4250  5 H 1.97-2.15
Li2 0.0049 0.6988 0.8798  3 H 1.80-1.99
Li3 0.5049 0.8798 0.6988  3 H 1.80-1.99
Li4 0.5049 0.3012 0.1202  3 H 1.80-1.99
Li5 0.0049 0.1202 0.3012  3 H 1.80-1.99
Li6 0.5239 0.4250 0.5750  5 H 1.97-2.15

***

A plane-wave DFT calculation with PBE was carried out for crystalline PmNd3Ru at its relaxed geometry.

Calculated values
The space group is Imma, No. 74. As for the formation energy: -94 meV/atom.

a b c (Å): 7.5368 7.5368 7.5368
angles (deg): 102.69 119.92 106.36
With the nearest neighbours (Å) after each atom.
Atoms (fractional coordinates):
Nd1 0.0534 0.7818 0.7716  2 Ru 2.84
Nd2 0.0315 0.2403 0.7085  1 Ru 2.74
Nd3 0.5318 0.3230 0.2915  1 Ru 2.74
Nd4 0.0102 0.2818 0.2284  2 Ru 2.84
Nd5 0.5318 0.7403 0.7087  1 Ru 2.74
Nd6 0.0315 0.8230 0.2913  1 Ru 2.74
Pm1 0.5072 0.7816 0.2257  2 Ru 2.83
Pm2 0.5559 0.2816 0.7743  2 Ru 2.83
Ru1 0.0314 0.5317 0.9998  4 Nd 2.74-2.84, 2 Pm 2.83
Ru2 0.5319 0.0317 0.0002  4 Nd 2.74-2.84, 2 Pm 2.83

***

A plane-wave DFT calculation with PBE was carried out for crystalline BSbW3 at its relaxed geometry.

Calculated values
The space group is Pm-3m, No. 221. The value obtained for the formation energy without anion corrections is 0.54 eV per atom.

a b c (Å): 4.2769 4.2769 4.2769
angles (deg): 90.00 90.00 90.00
With the nearest neighbours (Å) after each atom.
Atoms (fractional coordinates):
Sb1 0.5000 0.5000 0.5000  12 W 3.02
B1 0.0000 0.0000 0.0000  6 W 2.14
W1 0.0000 0.0000 0.5000  2 B 2.14
W2 0.5000 0.0000 0.0000  2 B 2.14
W3 0.0000 0.5000 0.0000  2 B 2.14

***

A plane-wave DFT calculation with PBE was carried out for crystalline ZrMo3P at its relaxed geometry.

Calculated values
The space group is Pm-3m, No. 221. As for the formation energy: 2299 meV/atom.

a b c (Å): 4.8101 4.8101 4.8101
angles (deg): 90.00 90.00 90.00
With the nearest neighbours (Å) after each atom.
Atoms (fractional coordinates):
Mo1 0.5000 0.0000 0.0000  2 Zr 2.41
Mo2 0.0000 0.5000 0.0000  2 Zr 2.41
Mo3 0.0000 0.0000 0.5000  2 Zr 2.41
P1 0.5000 0.5000 0.5000  12 Mo 3.40
Zr1 0.0000 0.0000 0.0000  6 Mo 2.41

***

A plane-wave DFT calculation with PBE was carried out for crystalline NaIn3Bi3 at its relaxed geometry.

Calculated values
The space group is P2_1/m, No. 11. As for the formation energy: 9 meV/atom.

a b c (Å): 5.4514 10.4979 10.4971
angles (deg): 119.96 90.00 90.00
With the nearest neighbours (Å) after each atom.
Atoms (fractional coordinates):
In1 0.7500 0.6098 0.0369  4 Bi 2.99-3.10
In2 0.2500 0.0373 0.4275  4 Bi 2.99-3.11
In3 0.7500 0.9627 0.5725  4 Bi 2.99-3.11
In4 0.2500 0.3902 0.9631  4 Bi 2.99-3.10
In5 0.2500 0.5724 0.6090  4 Bi 2.99-3.11
In6 0.7500 0.4276 0.3910  4 Bi 2.99-3.11
Bi1 0.2500 0.0715 0.7328  4 In 2.99-3.11
Bi2 0.7500 0.3393 0.0722  4 In 2.99-3.10
Bi3 0.7500 0.9285 0.2672  4 In 2.99-3.11
Bi4 0.7500 0.7328 0.6617  4 In 2.99-3.11
Bi5 0.2500 0.6607 0.9278  4 In 2.99-3.10
Bi6 0.2500 0.2672 0.3383  4 In 2.99-3.11
Na1 0.7500 0.3331 0.6675  3 In 3.50
Na2 0.2500 0.6669 0.3325  3 In 3.50

***

A plane-wave DFT calculation with PBE was carried out for crystalline GdHfIrOs at its relaxed geometry.

Calculated values
The space group is F-43m, No. 216. As for the formation energy: -530 meV/atom.

a b c (Å): 4.7392 4.7392 4.7392
angles (deg): 60.00 60.00 60.00
With the nearest neighbours (Å) after each atom.
Atoms (fractional coordinates):
Gd1 0.0000 0.0000 0.0000  4 Ir 2.90, 4 Os 2.90
Hf1 0.5000 0.5000 0.5000  4 Os 2.90, 4 Ir 2.90
Os1 0.2500 0.2500 0.2500  4 Gd 2.90, 4 Hf 2.90
Ir1 0.7500 0.7500 0.7500  4 Gd 2.90, 4 Hf 2.90

***

A plane-wave DFT calculation with PBE was carried out for crystalline AcH5Os at its relaxed geometry.

Calculated values
The space group is Immm, No. 71.

a b c (Å): 4.8477 4.8477 7.5603
angles (deg): 67.06 67.06 67.63
With the nearest neighbours (Å) after each atom.
Atoms (fractional coordinates):
H1 0.0670 0.6037 0.0822  1 Os 1.71
H2 0.9333 0.3963 0.4175  1 Os 1.71
H3 0.0667 0.6037 0.5825  1 Os 1.71
H4 0.3963 0.9330 0.4178  1 Os 1.71
H5 0.3963 0.9333 0.9175  1 Os 1.71
H6 0.6037 0.0670 0.5822  1 Os 1.71
H7 0.6037 0.0667 0.0825  1 Os 1.71
H8 0.9330 0.3963 0.9178  1 Os 1.71
H9 0.0000 0.0000 0.2500  2 Os 1.89
H10 0.0000 0.0000 0.7500  2 Os 1.89
Ac1 0.5000 0.5000 0.2500  14 H 2.65-2.70
Ac2 0.5000 0.5000 0.7500  14 H 2.65-2.70
Os1 0.0000 0.0000 0.5000  6 H 1.71-1.89
Os2 0.0000 0.0000 0.0000  6 H 1.71-1.89

***

What did we get for uncorrected energy? Answer: -60.432; -41.470; -29.266; -34.962; -22.045; -61.366; -57.604; -46.938; -34.956; -42.228; -46.246; -68.737 eV for the cell shown, in the order shown.